The following is a PBE+U calculation of an optimized crystal structure of WS3O, from the Alexandria database.

Summary:
Distance to the lowest polymorph of the same formula, meV per atom: 39

Geometry as POSCAR:
```
WS3O
1.0
4.236 0.000 0.000
0.000 4.236 0.000
0.000 0.000 4.236
S O W
3 1 1
Direct
0.000 0.500 0.000
0.000 0.000 0.500
0.500 0.000 0.000
0.000 0.000 0.000
0.500 0.500 0.500
```